P:
Crystalline KCaP2 at its relaxed geometry, computed with GGA-PBEsol.

Calculated values
density of states at the Fermi level: 3.493 states/eV per cell
M_tot: 0.0 μB per formula unit
crystal system: orthorhombic

a = 4.749 Å, b = 4.960 Å, c = 8.771 Å
α = 90.00°, β = 90.00°, γ = 90.00°
Fractional positions:
K (0.000, 0.000, 0.000)
K (0.500, 0.500, 0.000)
Ca (0.000, 0.500, 0.418)
Ca (0.500, 0.000, 0.418)
P (0.000, 0.000, 0.650)
P (0.000, 0.500, 0.725)
P (0.500, 0.000, 0.725)
P (0.500, 0.500, 0.650)

Q:
Crystalline KCaP2 at its relaxed geometry, computed with GGA-PBEsol.

Calculated values
density of states at the Fermi level: 1.311 states/eV per cell
M_tot: 0.0 μB per formula unit
crystal system: orthorhombic

a = 3.710 Å, b = 3.966 Å, c = 6.653 Å
α = 90.00°, β = 90.00°, γ = 90.00°
Fractional positions:
K (0.000, 0.000, 0.000)
Ca (0.000, 0.000, 0.500)
P (0.500, 0.500, 0.336)
P (0.500, 0.500, 0.664)

Q (501 meV/atom below the next structure)

P:
Crystalline KCa3Rh at its relaxed geometry, computed with GGA-PBEsol.

Calculated values
density of states at the Fermi level: 4.837 states/eV per cell
M_tot: 0.0 μB per formula unit
crystal system: monoclinic

a = 9.063 Å, b = 4.098 Å, c = 10.170 Å
α = 90.00°, β = 95.79°, γ = 90.00°
Fractional positions:
K (0.233, 0.250, 0.052)
K (0.767, 0.750, 0.948)
Ca (0.052, 0.750, 0.376)
Ca (0.274, 0.750, 0.697)
Ca (0.419, 0.750, 0.380)
Ca (0.581, 0.250, 0.620)
Ca (0.726, 0.250, 0.303)
Ca (0.948, 0.250, 0.624)
Rh (0.251, 0.250, 0.508)
Rh (0.749, 0.750, 0.492)

Q:
Crystalline KCa3Rh at its relaxed geometry, computed with GGA-PBEsol.

Calculated values
density of states at the Fermi level: 3.150 states/eV per cell
M_tot: 0.0 μB per formula unit
crystal system: cubic

a = 5.616 Å, b = 5.616 Å, c = 5.616 Å
α = 90.00°, β = 90.00°, γ = 90.00°
Fractional positions:
K (0.000, 0.000, 0.000)
Ca (0.000, 0.500, 0.500)
Ca (0.500, 0.000, 0.500)
Ca (0.500, 0.500, 0.000)
Rh (0.500, 0.500, 0.500)

P (28 meV/atom below the next structure)

P:
Crystalline KCaRu2 at its relaxed geometry, computed with GGA-PBEsol.

Calculated values
density of states at the Fermi level: 3.001 states/eV per cell
M_tot: 0.0 μB per formula unit
crystal system: monoclinic

a = 2.924 Å, b = 3.697 Å, c = 9.189 Å
α = 90.00°, β = 90.58°, γ = 90.00°
Fractional positions:
K (0.000, 0.000, 0.000)
Ca (0.522, 0.500, 0.583)
Ru (0.015, 0.000, 0.369)
Ru (0.511, 0.500, 0.274)

Q:
Crystalline KCaRu2 at its relaxed geometry, computed with GGA-PBEsol.

Calculated values
density of states at the Fermi level: 9.158 states/eV per cell
M_tot: 0.0 μB per formula unit
crystal system: monoclinic

a = 10.347 Å, b = 3.961 Å, c = 6.843 Å
α = 90.00°, β = 118.63°, γ = 90.00°
Fractional positions:
K (0.000, 0.000, 0.000)
K (0.500, 0.500, 0.000)
Ca (0.000, 0.500, 0.500)
Ca (0.500, 0.000, 0.500)
Ru (0.245, 0.500, 0.415)
Ru (0.255, 0.000, 0.585)
Ru (0.745, 0.000, 0.415)
Ru (0.755, 0.500, 0.585)

P (307 meV/atom below the next structure)

P:
Crystalline KCaSc2 at its relaxed geometry, computed with GGA-PBEsol.

Calculated values
density of states at the Fermi level: 5.656 states/eV per cell
M_tot: 0.6 μB per formula unit
crystal system: tetragonal

a = 3.548 Å, b = 3.548 Å, c = 10.880 Å
α = 90.00°, β = 90.00°, γ = 90.00°
Fractional positions:
K (0.000, 0.000, 0.000)
Ca (0.500, 0.500, 0.675)
Sc (0.000, 0.000, 0.454)
Sc (0.500, 0.500, 0.285)

Q:
Crystalline KCaSc2 at its relaxed geometry, computed with GGA-PBEsol.

Calculated values
density of states at the Fermi level: 6.812 states/eV per cell
M_tot: 0.8 μB per formula unit
crystal system: tetragonal

a = 6.022 Å, b = 6.022 Å, c = 3.597 Å
α = 90.00°, β = 90.00°, γ = 90.00°
Fractional positions:
K (0.000, 0.000, 0.000)
Ca (0.500, 0.500, 0.000)
Sc (0.000, 0.500, 0.500)
Sc (0.500, 0.000, 0.500)

R:
Crystalline KCaSc2 at its relaxed geometry, computed with GGA-PBEsol.

Calculated values
density of states at the Fermi level: 15.620 states/eV per cell
M_tot: 1.8 μB per formula unit
crystal system: orthorhombic

a = 6.837 Å, b = 11.390 Å, c = 3.363 Å
α = 90.00°, β = 90.00°, γ = 90.00°
Fractional positions:
K (0.000, 0.000, 0.000)
K (0.500, 0.500, 0.000)
Ca (0.000, 0.500, 0.000)
Ca (0.500, 0.000, 0.000)
Sc (0.250, 0.250, 0.500)
Sc (0.250, 0.750, 0.500)
Sc (0.750, 0.250, 0.500)
Sc (0.750, 0.750, 0.500)

P (328 meV/atom below the next structure)

P:
Crystalline KCaTc2 at its relaxed geometry, computed with GGA-PBEsol.

Calculated values
density of states at the Fermi level: 6.338 states/eV per cell
M_tot: 0.0 μB per formula unit
crystal system: monoclinic

a = 7.852 Å, b = 3.114 Å, c = 8.975 Å
α = 90.00°, β = 92.96°, γ = 90.00°
Fractional positions:
K (0.000, 0.000, 0.000)
K (0.500, 0.500, 0.000)
Ca (0.280, 0.500, 0.421)
Ca (0.780, 0.000, 0.421)
Tc (0.025, 0.500, 0.635)
Tc (0.244, 0.000, 0.721)
Tc (0.525, 0.000, 0.635)
Tc (0.744, 0.500, 0.721)

Q:
Crystalline KCaTc2 at its relaxed geometry, computed with GGA-PBEsol.

Calculated values
density of states at the Fermi level: 5.499 states/eV per cell
M_tot: 0.0 μB per formula unit
crystal system: orthorhombic

a = 5.253 Å, b = 10.616 Å, c = 2.668 Å
α = 90.00°, β = 90.00°, γ = 90.00°
Fractional positions:
K (0.000, 0.000, 0.000)
K (0.500, 0.500, 0.000)
Ca (0.000, 0.500, 0.000)
Ca (0.500, 0.000, 0.000)
Tc (0.250, 0.250, 0.500)
Tc (0.250, 0.750, 0.500)
Tc (0.750, 0.250, 0.500)
Tc (0.750, 0.750, 0.500)

P (518 meV/atom below the next structure)

P:
Crystalline KCaTc2 at its relaxed geometry, computed with GGA-PBEsol.

Calculated values
density of states at the Fermi level: 12.782 states/eV per cell
M_tot: 0.0 μB per formula unit
crystal system: cubic

a = 6.730 Å, b = 6.730 Å, c = 6.730 Å
α = 90.00°, β = 90.00°, γ = 90.00°
Fractional positions:
K (0.000, 0.000, 0.000)
K (0.000, 0.500, 0.500)
K (0.500, 0.000, 0.500)
K (0.500, 0.500, 0.000)
Ca (0.250, 0.250, 0.250)
Ca (0.250, 0.750, 0.750)
Ca (0.750, 0.250, 0.750)
Ca (0.750, 0.750, 0.250)
Tc (0.000, 0.000, 0.500)
Tc (0.000, 0.500, 0.000)
Tc (0.250, 0.250, 0.750)
Tc (0.250, 0.750, 0.250)
Tc (0.500, 0.000, 0.000)
Tc (0.500, 0.500, 0.500)
Tc (0.750, 0.250, 0.250)
Tc (0.750, 0.750, 0.750)

Q:
Crystalline KCaTc2 at its relaxed geometry, computed with GGA-PBEsol.

Calculated values
density of states at the Fermi level: 4.423 states/eV per cell
M_tot: 0.0 μB per formula unit
crystal system: tetragonal

a = 3.731 Å, b = 3.731 Å, c = 10.631 Å
α = 90.00°, β = 90.00°, γ = 90.00°
Fractional positions:
K (0.000, 0.000, 0.000)
K (0.500, 0.500, 0.500)
Ca (0.000, 0.000, 0.500)
Ca (0.500, 0.500, 0.000)
Tc (0.000, 0.500, 0.250)
Tc (0.000, 0.500, 0.750)
Tc (0.500, 0.000, 0.250)
Tc (0.500, 0.000, 0.750)

Q (106 meV/atom below the next structure)